No. 1
Below is a relaxed structure of BePbCl2, with properties calculated at the PBE level.

- DOS at the Fermi energy: 0.60 states/eV per atom
- Polymorph energy (0 for the lowest one): 0 meV per atom
- Uncorrected formation energy: -742 meV per atom
- Crystal system: trigonal
- Density: 4.10 Mg/m³

a = 12.572 Å, b = 12.572 Å, c = 12.572 Å
α = 15.03°, β = 15.03°, γ = 15.03°
Element x y z (fractional)
Pb  0.250  0.250  0.250
Be  0.750  0.750  0.750
Cl  0.050  0.050  0.050
Cl  0.450  0.450  0.450


No. 2
Below is a relaxed structure of Be2PbCl, with properties calculated at the PBE level.

- DOS at the Fermi energy: 1.12 states/eV per atom
- Polymorph energy (0 for the lowest one): 723 meV per atom
- Uncorrected formation energy: 900 meV per atom
- Crystal system: cubic
- Density: 5.43 Mg/m³

a = 4.830 Å, b = 4.830 Å, c = 4.830 Å
α = 60.00°, β = 60.00°, γ = 60.00°
Element x y z (fractional)
Pb  0.750  0.750  0.750
Be  0.000  0.000  0.000
Be  0.250  0.250  0.250
Cl  0.500  0.500  0.500


No. 3
Below is a relaxed structure of Be2PbCl, with properties calculated at the PBE level.

- DOS at the Fermi energy: 0.28 states/eV per atom
- Polymorph energy (0 for the lowest one): 388 meV per atom
- Uncorrected formation energy: 565 meV per atom
- Crystal system: orthorhombic
- Density: 5.56 Mg/m³

a = 3.528 Å, b = 3.528 Å, c = 7.516 Å
α = 90.00°, β = 90.00°, γ = 123.66°
Element x y z (fractional)
Pb  0.500  0.500  0.750
Be  0.000  0.000  0.020
Be  0.000  0.000  0.480
Cl  0.500  0.500  0.250


No. 4
Below is a relaxed structure of BePbCl2, with properties calculated at the PBE level.

- DOS at the Fermi energy: 0.04 states/eV per atom
- Polymorph energy (0 for the lowest one): 937 meV per atom
- Uncorrected formation energy: 195 meV per atom
- Crystal system: cubic
- Density: 5.15 Mg/m³

a = 5.078 Å, b = 5.078 Å, c = 5.078 Å
α = 60.00°, β = 60.00°, γ = 60.00°
Element x y z (fractional)
Pb  0.750  0.750  0.750
Be  0.500  0.500  0.500
Cl  0.000  0.000  0.000
Cl  0.250  0.250  0.250